1.
Ag2C2N | PBE | relaxed

a b c (Å): 2.6391 2.6391 8.0300
angles (deg): 80.54 80.54 90.00
Atoms (fractional coordinates):
C1 0.7500 0.2500 0.5000
C2 0.2500 0.7500 0.5000
Ag1 0.3974 0.3974 0.2051
Ag2 0.6026 0.6026 0.7949
N1 0.0000 0.0000 0.0000

formation energy from raw total energies = 10.903 eV per formula unit
E above lowest polymorph = 0.488 eV/atom
electronic total energy = -4.315 eV per atom
magnetization = 0.00 μB per atom

2.
La3Pr6Cd | PBE | relaxed

a b c (Å): 5.3293 11.1546 11.7710
angles (deg): 94.04 90.00 90.00
Atoms (fractional coordinates):
La1 0.2500 0.5530 0.4064
La2 0.7500 0.4470 0.5936
La3 0.2500 0.3422 0.7884
La4 0.7500 0.6579 0.2116
La5 0.2500 0.7559 0.0166
La6 0.7500 0.2441 0.9834
Pr1 0.2500 0.4508 0.0987
Pr2 0.7500 0.5492 0.9013
Pr3 0.2500 0.1559 0.1756
Pr4 0.7500 0.8441 0.8244
Pr5 0.2500 0.6597 0.7049
Pr6 0.7500 0.3403 0.2951
Pr7 0.2500 0.2234 0.4885
Pr8 0.7500 0.7766 0.5115
Pr9 0.2500 0.8710 0.3207
Pr10 0.7500 0.1290 0.6793
Pr11 0.2500 0.0410 0.8801
Pr12 0.7500 0.9590 0.1199
Cd1 0.2500 0.9429 0.6077
Cd2 0.7500 0.0571 0.3923

E above lowest polymorph = 0.000 eV/atom
electronic total energy = -4.468 eV per atom
magnetization = 0.00 μB per atom

3.
TlAsS2 | PBE | relaxed

a b c (Å): 4.6903 5.7395 8.4203
angles (deg): 90.01 89.23 89.67
Atoms (fractional coordinates):
Tl1 0.4429 0.1436 0.1115
Tl2 0.0945 0.6415 0.8606
As1 0.9205 0.6129 0.3632
As2 0.6155 0.1144 0.6093
S1 0.8807 0.1485 0.8230
S2 0.6163 0.6983 0.5796
S3 0.9194 0.1969 0.3928
S4 0.6560 0.6494 0.1492

formation energy from raw total energies = -0.926 eV per formula unit
electronic total energy = -4.049 eV per atom
magnetization = 0.00 μB per atom

4.
Na12SiAu6 | PBE | relaxed

a b c (Å): 7.6854 7.6854 7.6854
angles (deg): 87.65 87.65 87.65
Atoms (fractional coordinates):
Na1 0.5871 0.1849 0.4692
Na2 0.1849 0.4692 0.5871
Na3 0.4692 0.5871 0.1849
Na4 0.4129 0.8151 0.5308
Na5 0.8151 0.5308 0.4129
Na6 0.5308 0.4129 0.8151
Na7 0.9710 0.8551 0.6217
Na8 0.3783 0.0290 0.1449
Na9 0.1449 0.3783 0.0290
Na10 0.0290 0.1449 0.3783
Na11 0.6217 0.9710 0.8551
Na12 0.8551 0.6217 0.9710
Si1 0.0000 0.0000 0.0000
Au1 0.2587 0.1096 0.7617
Au2 0.8904 0.2383 0.7413
Au3 0.2383 0.7413 0.8904
Au4 0.7413 0.8904 0.2383
Au5 0.1096 0.7617 0.2587
Au6 0.7617 0.2587 0.1096

formation energy from raw total energies = -3.570 eV per formula unit
electronic total energy = -2.341 eV per atom
magnetization = 0.00 μB per atom

5.
LiSmAu | PBE | relaxed

a b c (Å): 3.7371 4.5253 4.5253
angles (deg): 120.00 90.00 90.00
Atoms (fractional coordinates):
Au1 0.1666 0.3333 0.6667
Sm1 0.6667 0.6667 0.3333
Li1 0.1667 0.0000 0.0000

E above lowest polymorph = 0.081 eV/atom
electronic total energy = -3.814 eV per atom
magnetization = 0.00 μB per atom

It is found that the calculated density values, taken in the order of the records, are 7.747; 6.540; 5.032; 5.448; 8.876 Mg/m³.